No. 1
A relaxed structure of MoRhSe2. Source: the Alexandria database, functional PBE-GGA.

Cell: 3.317 3.619 6.584 Å, 90.00 90.00 90.00°
Fractional coordinates of all 4 atoms:
1 Rh 0.500 0.500 0.735
2 Se 0.000 0.000 0.885
3 Mo 0.000 0.000 0.519
4 Se 0.500 0.500 0.360

Calculated values
- total moment (μB/cell) = 0.0
- D(E_F) (states/eV/atom) = 0.807
- energy relative to the lowest polymorph listed for this composition (meV per atom) = 0.0
- energy relative to the elements, uncorrected (meV/atom) = -175

***

No. 2
A relaxed structure of ReC. Source: the Alexandria database, functional PBE-GGA.

Cell: 2.891 2.891 11.338 Å, 90.00 90.00 120.00°
Fractional coordinates of all 8 atoms:
1 Re 0.333 0.667 0.874
2 C 0.667 0.333 0.750
3 Re 0.333 0.667 0.626
4 C 0.000 0.000 0.000
5 C 0.000 0.000 0.500
6 Re 0.667 0.333 0.126
7 Re 0.667 0.333 0.374
8 C 0.333 0.667 0.250

Calculated values
- total moment (μB/cell) = 0.0
- D(E_F) (states/eV/atom) = 0.713
- energy relative to the lowest polymorph listed for this composition (meV per atom) = 373.6
- energy of formation (eV per formula unit) = 1.23

***

No. 3
A relaxed structure of Pm12ErIn6. Source: the Alexandria database, functional PBE-GGA.

Cell: 8.330 8.330 8.330 Å, 89.00 89.00 89.00°
Fractional coordinates of all 19 atoms:
1 In 0.271 0.122 0.744
2 Pm 0.927 0.877 0.617
3 Pm 0.527 0.436 0.808
4 Pm 0.192 0.473 0.564
5 Pm 0.564 0.192 0.473
6 Pm 0.617 0.927 0.877
7 Pm 0.073 0.123 0.383
8 Pm 0.123 0.383 0.073
9 In 0.729 0.878 0.256
10 Er 0.000 0.000 0.000
11 Pm 0.383 0.073 0.123
12 Pm 0.473 0.564 0.192
13 In 0.122 0.744 0.271
14 In 0.256 0.729 0.878
15 Pm 0.808 0.527 0.436
16 In 0.744 0.271 0.122
17 Pm 0.877 0.617 0.927
18 In 0.878 0.256 0.729
19 Pm 0.436 0.808 0.527

Calculated values
- total moment (μB/cell) = 0.0
- D(E_F) (states/eV/atom) = 1.013
- energy of formation (eV per formula unit) = -4.49

***

Number 1: raw total energy -6.46 eV per atom. Number 2: raw total energy -10.22 eV per atom. Number 3: raw total energy -4.34 eV per atom.